# PBE-GGA Ca6CoH12, optimized geometry
# - DOS at the Fermi energy: 10.3 states/eV/cell
# - Crystal system: trigonal
# - Total energy: -3.525 eV/atom
# - Mass density: 2.140 Mg/m³
data_Ca6CoH12
_chemical_formula_sum 'Ca18 Co3 H36'
_symmetry_space_group_name_H-M 'R -3'
_symmetry_Int_Tables_number 148
_symmetry_space_group_name_Hall '-R 3'
_cell_length_a 9.5217
_cell_length_b 9.5217
_cell_length_c 9.2352
_cell_angle_alpha 90.00
_cell_angle_beta 90.00
_cell_angle_gamma 120.00
loop_
_atom_site_label
_atom_site_type_symbol
_atom_site_fract_x
_atom_site_fract_y
_atom_site_fract_z
Ca1 Ca 0.0597 0.7989 0.1597
Co1 Co 0.0000 0.0000 0.5000
H1 H 0.0412 0.8614 0.4013
H2 H 0.0470 0.8142 0.9107

# PBE-GGA CsF2, optimized geometry
# - Raw formation energy: -1.84 eV per atom
# - DOS at the Fermi energy: 4.1 states/eV/cell
# - Crystal system: monoclinic
# - Energy relative to the lowest polymorph listed for this composition: 53.6 meV/atom
# - Total energy: -3.369 eV/atom
# - Mass density: 4.113 Mg/m³
data_CsF2
_chemical_formula_sum 'Cs4 F8'
_symmetry_space_group_name_H-M 'C 1 2/c 1'
_symmetry_Int_Tables_number 15
_cell_length_a 7.014
_cell_length_b 4.840
_cell_length_c 8.713
_cell_angle_alpha 90.00
_cell_angle_beta 111.10
_cell_angle_gamma 90.00
loop_
_symmetry_equiv_pos_as_xyz
'x,y,z'
'-x,-y,-z'
'-x,y,-z+1/2'
'x,-y,z+1/2'
'x+1/2,y+1/2,z'
'-x+1/2,-y+1/2,-z'
'-x+1/2,y+1/2,-z+1/2'
'x+1/2,-y+1/2,z+1/2'
loop_
_atom_site_label
_atom_site_type_symbol
_atom_site_fract_x
_atom_site_fract_y
_atom_site_fract_z
Cs1 Cs 0.000 0.116 0.250
F1 F 0.123 0.379 0.993

# PBE-GGA RhSeBr2F, optimized geometry
# - Raw formation energy: 0.12 eV per atom
# - DOS at the Fermi energy: 7.6 states/eV/cell
# - Crystal system: tetragonal
# - Energy relative to the lowest polymorph listed for this composition: 0.0 meV/atom
# - Total energy: -3.090 eV/atom
# - Mass density: 4.838 Mg/m³
data_RhSeBr2F
_chemical_formula_sum 'Rh1 Se1 Br2 F1'
_symmetry_space_group_name_H-M 'P 4/m m m'
_symmetry_Int_Tables_number 123
_symmetry_space_group_name_Hall '-P 4 2'
_cell_length_a 5.155
_cell_length_b 5.155
_cell_length_c 4.658
_cell_angle_alpha 90.00
_cell_angle_beta 90.00
_cell_angle_gamma 90.00
loop_
_atom_site_label
_atom_site_type_symbol
_atom_site_fract_x
_atom_site_fract_y
_atom_site_fract_z
Rh1 Rh 0.000 0.000 0.000
Se1 Se 0.000 0.000 0.500
Br1 Br 0.000 0.500 0.000
F1 F 0.500 0.500 0.500

# PBE-GGA TaPSO2, optimized geometry
# - Raw formation energy: 0.24 eV per atom
# - DOS at the Fermi energy: 3.6 states/eV/cell
# - Crystal system: tetragonal
# - Total energy: -6.026 eV/atom
# - Mass density: 7.155 Mg/m³
data_TaPSO2
_chemical_formula_sum 'Ta1 P1 S1 O2'
_symmetry_space_group_name_H-M 'P 4/m m m'
_symmetry_Int_Tables_number 123
_symmetry_space_group_name_Hall '-P 4 2'
_cell_length_a 3.660
_cell_length_b 3.660
_cell_length_c 4.783
_cell_angle_alpha 90.00
_cell_angle_beta 90.00
_cell_angle_gamma 90.00
loop_
_atom_site_label
_atom_site_type_symbol
_atom_site_fract_x
_atom_site_fract_y
_atom_site_fract_z
Ta1 Ta 0.000 0.000 0.000
P1 P 0.500 0.500 0.000
S1 S 0.500 0.500 0.500
O1 O 0.000 0.500 0.500

# PBE-GGA ScZnRe, optimized geometry
# - DOS at the Fermi energy: 11.4 states/eV/cell
# - Crystal system: orthorhombic
# - Energy relative to the lowest polymorph listed for this composition: 45.8 meV/atom
# - Total energy: -6.597 eV/atom
# - Mass density: 9.884 Mg/m³
data_ScZnRe
_chemical_formula_sum 'Sc4 Zn4 Re4'
_symmetry_space_group_name_H-M 'F m m 2'
_symmetry_Int_Tables_number 42
_symmetry_space_group_name_Hall 'F 2 -2'
_cell_length_a 3.547
_cell_length_b 4.330
_cell_length_c 12.975
_cell_angle_alpha 90.00
_cell_angle_beta 90.00
_cell_angle_gamma 90.00
loop_
_atom_site_label
_atom_site_type_symbol
_atom_site_fract_x
_atom_site_fract_y
_atom_site_fract_z
Sc1 Sc 0.000 0.000 0.000
Zn1 Zn 0.000 0.000 0.323
Re1 Re 0.000 0.000 0.667